[1]
An optimized crystal structure of PRuPb2, computed with GGA-PBEsol.

The calculation puts the energy of formation at 0.6698 eV/atom. The calculation puts the final energy at -5.32 eV/atom. As for the density of states at the Fermi level: 7.16 states/eV per cell. Its size of the total moment is 0.00 μB/f.u.

It has space group Immm (No. 71), with a = 3.7872 Å, b = 5.0396 Å, c = 8.3746 Å, α = 90.00°, β = 90.00° and γ = 90.00°. The asymmetric unit holds P at (0.0000, 0.0000, 0.0000), Ru at (0.0000, 0.0000, 0.5000) and Pb at (0.0000, 0.5000, 0.2526).

=====

[2]
An optimized crystal structure of P2RuPb, computed with GGA-PBEsol.

The calculation puts the energy of formation at 0.7311 eV/atom. The calculation puts the final energy at -5.71 eV/atom. As for the density of states at the Fermi level: 15.17 states/eV per cell. Its size of the total moment is 0.00 μB/f.u.

It has space group F-43m (No. 216), with a = 6.4429 Å, b = 6.4429 Å, c = 6.4429 Å, α = 90.00°, β = 90.00° and γ = 90.00°. The asymmetric unit holds P at (0.0000, 0.0000, 0.0000), P at (0.2500, 0.2500, 0.2500), Ru at (0.2500, 0.2500, 0.7500) and Pb at (0.0000, 0.0000, 0.5000).